# Ho5Al2Ge4 | Alexandria via LeMat-Bulk | GGA-PBE | optimized geometry
# Spin magnetization ... 0.001 Bohr magnetons per cell
# DFT total energy ... -4.874 eV/atom
# E_form ... -433.4 meV/atom
data_Ho5Al2Ge4
_chemical_formula_sum 'Ho10 Al4 Ge8'
_cell_length_a 18.909
_cell_length_b 4.138
_cell_length_c 7.251
_cell_angle_alpha 90.00
_cell_angle_beta 106.92
_cell_angle_gamma 90.00
_symmetry_space_group_name_H-M 'C 1 2/m 1'
_symmetry_Int_Tables_number 12
loop_
_symmetry_equiv_pos_as_xyz
'x,y,z'
'-x,-y,-z'
'-x,y,-z'
'x,-y,z'
'x+1/2,y+1/2,z'
'-x+1/2,-y+1/2,-z'
'-x+1/2,y+1/2,-z'
'x+1/2,-y+1/2,z'
loop_
_atom_site_label
_atom_site_fract_x
_atom_site_fract_y
_atom_site_fract_z
_atom_site_occupancy
Ho1 0.000 0.000 0.000 1
Ho2 0.157 0.500 0.422 1
Ho3 0.163 0.500 0.938 1
Al1 0.074 0.000 0.627 1
Ge1 0.008 0.500 0.714 1
Ge2 0.213 0.000 0.712 1

---

# Ho2Al3Ge | Alexandria via LeMat-Bulk | GGA-PBE | optimized geometry
# Spin magnetization ... 0.000 Bohr magnetons per cell
# DFT total energy ... -4.679 eV/atom
# E_form ... -512.2 meV/atom
data_Ho2Al3Ge
_chemical_formula_sum 'Ho2 Al3 Ge1'
_cell_length_a 3.848
_cell_length_b 4.343
_cell_length_c 7.512
_cell_angle_alpha 90.00
_cell_angle_beta 90.00
_cell_angle_gamma 90.00
_symmetry_space_group_name_H-M 'P m m 2'
_symmetry_Int_Tables_number 25
loop_
_symmetry_equiv_pos_as_xyz
'x,y,z'
'-x,-y,z'
'-x,y,z'
'x,-y,z'
loop_
_atom_site_label
_atom_site_fract_x
_atom_site_fract_y
_atom_site_fract_z
_atom_site_occupancy
Ho1 0.000 0.000 0.000 1
Ho2 0.000 0.500 0.486 1
Al1 0.500 0.000 0.657 1
Al2 0.500 0.500 0.159 1
Al3 0.500 0.500 0.824 1
Ge1 0.500 0.000 0.327 1

---

# Ho3AlGe3 | Alexandria via LeMat-Bulk | GGA-PBE | optimized geometry
# Spin magnetization ... 0.000 Bohr magnetons per cell
# DFT total energy ... -5.048 eV/atom
# E_form ... -572.7 meV/atom
data_Ho3AlGe3
_chemical_formula_sum 'Ho6 Al2 Ge6'
_cell_length_a 8.4891
_cell_length_b 8.4891
_cell_length_c 5.8357
_cell_angle_alpha 90.00
_cell_angle_beta 90.00
_cell_angle_gamma 120.00
_symmetry_space_group_name_H-M 'P 63/m'
_symmetry_Int_Tables_number 176
_symmetry_space_group_name_Hall '-P 6c'
loop_
_atom_site_label
_atom_site_fract_x
_atom_site_fract_y
_atom_site_fract_z
_atom_site_occupancy
Ho1 0.0591 0.3670 0.2500 1
Al1 0.3333 0.6667 0.7500 1
Ge1 0.0556 0.3591 0.7500 1

---

Question: Among the records above, which one has the lowest E_form?
Answer: Ho3AlGe3